Entry 1:
3
Lattice="-1.716 1.716 4.375 1.716 -1.716 4.375 1.716 1.716 -4.375" Properties=species:S:1:pos:R:3 comment="ScAgPt (SCAN, PBEsol geometry)" space_group=I4mm pbc="T T T"
Sc 0.000 0.000 0.000
Ag 0.000 0.000 2.817
Pt 0.000 0.000 5.662



Entry 2:
4
Lattice="-1.942 1.942 4.386 1.942 -1.942 4.386 1.942 1.942 -4.386" Properties=species:S:1:pos:R:3 comment="ScAg2Pt (SCAN, PBEsol geometry)" space_group=I4/mmm pbc="T T T"
Sc 0.000 0.000 0.000
Ag 1.942 0.000 2.193
Ag 0.000 1.942 2.193
Pt 0.000 0.000 4.386



Number 1: volume 52 Å³ per cell, formation energy -0.8400 eV/atom. Number 2: volume 66 Å³ per cell, formation energy -0.6246 eV/atom.